An optimized crystal structure of MgMn2BBr, computed with GGA-PBE.

Cell and atoms, written as extended XYZ:
```
5
Lattice="-3.571 0.956 3.591 -2.642 -4.041 -1.552 2.569 -2.964 3.344" Properties=species:S:1:pos:R:3 pbc="T T T"
Mg 0.000 0.000 0.000
Mn 1.284 -1.482 1.672
Mn -1.786 0.478 1.795
B -1.822 -3.024 2.691
Br -1.321 -2.020 -0.776
```

Output
- DOS at the Fermi energy: 4.4 states/eV/f.u.
- Formation energy (no corrections): 1.802 eV per atom
- Space group: P4/mmm (123)
- E: -19.3 eV/f.u.

---

An optimized crystal structure of SrAl4F2, computed with GGA-PBE.

Cell and atoms, written as extended XYZ:
```
7
Lattice="6.212 0.000 0.000 0.000 6.212 0.000 3.106 3.106 6.195" Properties=species:S:1:pos:R:3 pbc="T T T"
Sr 0.000 0.000 0.000
Al 6.212 6.212 3.182
Al 3.106 3.106 3.013
Al 0.000 3.106 0.000
Al 3.106 0.000 0.000
F 6.212 6.212 4.882
F 3.106 3.106 1.313
```

Output
- DOS at the Fermi energy: 7.4 states/eV/f.u.
- Formation energy (no corrections): -0.209 eV per atom
- Space group: I4/mmm (139)
- E: -21.9 eV/f.u.

---

An optimized crystal structure of MgZnRe3, computed with GGA-PBE.

Cell and atoms, written as extended XYZ:
```
5
Lattice="4.499 0.000 0.000 0.000 4.499 0.000 0.000 0.000 4.499" Properties=species:S:1:pos:R:3 pbc="T T T"
Re 0.000 2.249 0.000
Re 0.000 0.000 2.249
Re 2.249 0.000 0.000
Zn 2.249 2.249 2.249
Mg 0.000 0.000 0.000
```

Output
- DOS at the Fermi energy: 6.4 states/eV/f.u.
- Space group: Pm-3m (221)
- E_form: 2556 meV per atom
- E: -27.4 eV/f.u.

---

An optimized crystal structure of Tb2Sm6Ag, computed with GGA-PBE.

Cell and atoms, written as extended XYZ:
```
9
Lattice="3.607 0.000 -0.105 0.000 10.379 0.000 -1.578 -5.190 7.748" Properties=species:S:1:pos:R:3 pbc="T T T"
Tb 0.062 5.190 2.120
Tb 1.966 0.000 5.522
Sm 0.084 1.636 2.807
Sm 1.945 6.826 4.835
Sm 1.945 3.553 4.835
Sm 1.803 2.771 -0.053
Sm 0.084 -1.636 2.807
Sm 1.803 7.608 -0.053
Ag 0.000 0.000 0.000
```

Output
- DOS at the Fermi energy: 9.7 states/eV/f.u.
- Space group: Immm (71)
- E_form: 59 meV per atom
- E: -39.9 eV/f.u.

---

An optimized crystal structure of La2Ho2Tm, computed with GGA-PBE.

Cell and atoms, written as extended XYZ:
```
10
Lattice="6.378 0.000 0.000 -3.189 5.501 -2.508 0.000 0.659 9.312" Properties=species:S:1:pos:R:3 pbc="T T T"
La 2.129 2.615 5.062
La -1.060 3.875 6.399
La 1.060 3.545 1.743
La 4.249 2.285 0.406
Ho 2.135 4.465 -1.541
Ho 5.324 1.365 3.689
Ho 1.054 1.694 8.345
Ho -2.135 4.795 3.115
Tm 4.269 0.494 6.984
Tm 2.109 0.165 2.328
```

Output
- DOS at the Fermi energy: 9.0 states/eV/f.u.
- Space group: C2/c (15)
- E_form: 34 meV per atom
- E: -23.3 eV/f.u.

---

An optimized crystal structure of GePd, computed with GGA-PBE.

Cell and atoms, written as extended XYZ:
```
12
Lattice="-0.097 3.292 -8.871 -7.023 -5.553 3.062 -1.825 2.916 1.102" Properties=species:S:1:pos:R:3 pbc="T T T"
Ge -1.052 2.680 -5.873
Ge -6.480 0.314 -2.685
Ge -5.069 0.198 -5.958
Ge -7.893 -2.025 1.166
Ge -2.464 0.340 -2.021
Ge -3.876 0.457 1.252
Pd -3.108 1.689 -6.656
Pd -7.794 -1.067 -1.206
Pd -4.326 -0.193 -3.696
Pd -5.837 -1.034 1.949
Pd -1.151 1.721 -3.501
Pd -4.618 0.847 -1.011
```

Output
- DOS at the Fermi energy: 0.7 states/eV/f.u.
- Space group: P6_3/m (176)
- E_form: -63 meV per atom
- E: -9.9 eV/f.u.

---

An optimized crystal structure of Sm2Er12Tm, computed with GGA-PBE.

Cell and atoms, written as extended XYZ:
```
30
Lattice="6.411 -1.448 0.529 -1.448 6.411 0.529 1.225 1.225 24.364" Properties=species:S:1:pos:R:3 pbc="T T T"
Sm 3.745 -0.184 7.130
Sm -0.185 3.744 7.090
Sm 6.371 2.442 18.292
Sm 2.443 6.373 18.331
Er 2.948 2.948 20.125
Er 5.430 5.429 20.653
Er 3.880 3.859 23.343
Er 2.079 6.008 21.767
Er 0.419 0.413 8.029
Er 0.179 4.109 3.654
Er 5.485 1.556 14.585
Er 2.894 2.900 8.558
Er 1.378 1.399 22.815
Er 4.788 4.809 2.607
Er 2.321 2.350 13.883
Er 4.632 0.702 10.836
Er 5.775 5.769 17.392
Er 1.385 1.356 11.010
Er 2.328 2.307 2.078
Er 3.837 3.866 11.538
Er 4.832 4.802 14.412
Er 0.758 0.758 4.768
Er 1.578 5.507 14.553
Er 3.287 3.293 16.863
Er 6.011 2.081 21.727
Er 3.239 3.239 5.297
Er 0.680 4.610 10.869
Er 4.106 0.177 3.694
Tm 3.206 -0.723 0.265
Tm 6.911 2.981 25.156
```

Output
- DOS at the Fermi energy: 25.6 states/eV/f.u.
- Space group: C2/m (12)
- E_form: 108 meV per atom
- E: -67.0 eV/f.u.

---

An optimized crystal structure of MgInHg2Rh, computed with GGA-PBE.

Cell and atoms, written as extended XYZ:
```
5
Lattice="-1.229 2.234 4.551 -4.614 -0.160 -1.168 -0.395 -4.711 2.206" Properties=species:S:1:pos:R:3 pbc="T T T"
Mg 0.000 0.000 0.000
Rh -2.307 -0.080 -0.584
Hg -0.198 -2.355 1.103
Hg -0.615 1.117 2.276
In -3.119 -1.318 2.794
```

Output
- DOS at the Fermi energy: 2.4 states/eV/f.u.
- Space group: P4/mmm (123)
- E_form: 494 meV per atom
- E: -9.8 eV/f.u.